(1)
# CdCSe2 | the Alexandria database | PBEsol | relaxed
data_CdCSe2
_cell_length_a 6.5099
_cell_length_b 6.5099
_cell_length_c 6.5099
_cell_angle_alpha 90.00
_cell_angle_beta 90.00
_cell_angle_gamma 90.00
_symmetry_space_group_name_H-M 'F m -3 m'
_symmetry_Int_Tables_number 225
_symmetry_space_group_name_Hall '-F 4 2 3'
loop_
_atom_site_label
_atom_site_type_symbol
_atom_site_fract_x
_atom_site_fract_y
_atom_site_fract_z
_atom_site_occupancy
Cd1 Cd 0.0000 0.0000 0.0000 1
C1 C 0.0000 0.0000 0.5000 1
Se1 Se 0.2500 0.2500 0.2500 1
# Density of states at the Fermi level: 2.30 states/eV/f.u.
# Formation energy from raw total energies: 1463 meV/atom
# E: -3.173 eV/atom
# V: 17.242 A^3/atom

(2)
# TaAgHg2 | the Alexandria database | PBEsol | relaxed
data_TaAgHg2
_cell_length_a 4.2043
_cell_length_b 4.2043
_cell_length_c 8.4140
_cell_angle_alpha 90.00
_cell_angle_beta 90.00
_cell_angle_gamma 90.00
_symmetry_space_group_name_H-M 'I -4 m 2'
_symmetry_Int_Tables_number 119
_symmetry_space_group_name_Hall 'I -4 -2'
loop_
_atom_site_label
_atom_site_type_symbol
_atom_site_fract_x
_atom_site_fract_y
_atom_site_fract_z
_atom_site_occupancy
Ta1 Ta 0.0000 0.0000 0.0000 1
Ag1 Ag 0.0000 0.5000 0.2500 1
Hg1 Hg 0.0000 0.0000 0.5000 1
Hg2 Hg 0.0000 0.5000 0.7500 1
# Density of states at the Fermi level: 3.20 states/eV/f.u.
# E: -3.766 eV/atom
# V: 18.591 A^3/atom
# Energy relative to the elements: 0.483 eV per atom

(3)
# CrReRh2 | the Alexandria database | PBEsol | relaxed
data_CrReRh2
_cell_length_a 2.6459
_cell_length_b 3.7998
_cell_length_c 5.2506
_cell_angle_alpha 90.00
_cell_angle_beta 90.00
_cell_angle_gamma 90.00
_symmetry_space_group_name_H-M 'P m m m'
_symmetry_Int_Tables_number 47
loop_
_symmetry_equiv_pos_as_xyz
'x,y,z'
'-x,-y,-z'
'-x,-y,z'
'x,y,-z'
'x,-y,-z'
'-x,y,z'
'-x,y,-z'
'x,-y,z'
loop_
_atom_site_label
_atom_site_type_symbol
_atom_site_fract_x
_atom_site_fract_y
_atom_site_fract_z
_atom_site_occupancy
Cr1 Cr 0.0000 0.0000 0.0000 1
Re1 Re 0.0000 0.0000 0.5000 1
Rh1 Rh 0.5000 0.5000 0.2453 1
# E above lowest polymorph: 0.084 eV per atom
# Density of states at the Fermi level: 4.12 states/eV/f.u.
# E: -10.022 eV/atom
# V: 13.197 A^3/atom
# Energy relative to the elements: -0.059 eV per atom

(4)
# Sc2RhC | the Alexandria database | PBEsol | relaxed
data_Sc2RhC
_cell_length_a 3.2130
_cell_length_b 3.2130
_cell_length_c 24.2312
_cell_angle_alpha 90.00
_cell_angle_beta 90.00
_cell_angle_gamma 120.00
_symmetry_space_group_name_H-M 'R -3 m'
_symmetry_Int_Tables_number 166
_symmetry_space_group_name_Hall '-R 3 2"'
loop_
_atom_site_label
_atom_site_type_symbol
_atom_site_fract_x
_atom_site_fract_y
_atom_site_fract_z
_atom_site_occupancy
Sc1 Sc 0.0000 0.0000 0.0882 1
Rh1 Rh 0.0000 0.0000 0.5000 1
C1 C 0.0000 0.0000 0.0000 1
# Density of states at the Fermi level: 2.50 states/eV/f.u.
# E: -7.060 eV/atom
# V: 18.053 A^3/atom
# Energy relative to the elements: 0.688 eV per atom

(5)
# CaPd2Se | the Alexandria database | PBEsol | relaxed
data_CaPd2Se
_cell_length_a 6.5445
_cell_length_b 6.5445
_cell_length_c 6.5445
_cell_angle_alpha 90.00
_cell_angle_beta 90.00
_cell_angle_gamma 90.00
_symmetry_space_group_name_H-M 'F m -3 m'
_symmetry_Int_Tables_number 225
_symmetry_space_group_name_Hall '-F 4 2 3'
loop_
_atom_site_label
_atom_site_type_symbol
_atom_site_fract_x
_atom_site_fract_y
_atom_site_fract_z
_atom_site_occupancy
Ca1 Ca 0.0000 0.0000 0.0000 1
Pd1 Pd 0.2500 0.2500 0.2500 1
Se1 Se 0.0000 0.0000 0.5000 1
# E above lowest polymorph: 0.017 eV per atom
# Density of states at the Fermi level: 0.68 states/eV/f.u.
# Formation energy from raw total energies: -559 meV/atom
# E: -5.034 eV/atom
# V: 17.519 A^3/atom

(6)
# NaV6O15 | the Alexandria database | PBEsol | relaxed
data_NaV6O15
_cell_length_a 7.1759
_cell_length_b 7.8944
_cell_length_c 10.0610
_cell_angle_alpha 109.46
_cell_angle_beta 90.01
_cell_angle_gamma 103.16
_symmetry_space_group_name_H-M 'P -1'
_symmetry_Int_Tables_number 2
loop_
_symmetry_equiv_pos_as_xyz
'x,y,z'
'-x,-y,-z'
loop_
_atom_site_label
_atom_site_type_symbol
_atom_site_fract_x
_atom_site_fract_y
_atom_site_fract_z
_atom_site_occupancy
Na1 Na 0.2484 0.4938 0.0955 1
V1 V 0.0822 0.8238 0.3962 1
V2 V 0.1079 0.9281 0.0916 1
V3 V 0.1918 0.2681 0.3851 1
V4 V 0.3086 0.7355 0.6182 1
V5 V 0.3942 0.0736 0.9095 1
V6 V 0.4199 0.1750 0.6026 1
O1 O 0.0446 0.6245 0.2769 1
O2 O 0.0559 0.7066 0.0300 1
O3 O 0.0675 0.7690 0.5749 1
O4 O 0.1180 0.9729 0.2796 1
O5 O 0.1287 0.0140 0.9254 1
O6 O 0.1583 0.1353 0.5589 1
O7 O 0.1940 0.2799 0.2278 1
O8 O 0.2498 0.5001 0.4996 1
O9 O 0.3040 0.7206 0.7728 1
O10 O 0.3433 0.8761 0.4460 1
O11 O 0.3733 0.9921 0.0775 1
O12 O 0.3816 0.0269 0.7212 1
O13 O 0.4331 0.2314 0.4248 1
O14 O 0.4533 0.2951 0.9701 1
O15 O 0.4830 0.3740 0.7226 1
# E above lowest polymorph: 0.000 eV per atom
# Density of states at the Fermi level: 3.83 states/eV/f.u.
# Formation energy from raw total energies: -2314 meV/atom
# E: -8.584 eV/atom
# V: 11.852 A^3/atom

(7)
# OsSF2 | the Alexandria database | PBEsol | relaxed
data_OsSF2
_cell_length_a 5.7635
_cell_length_b 5.7635
_cell_length_c 5.7635
_cell_angle_alpha 90.00
_cell_angle_beta 90.00
_cell_angle_gamma 90.00
_symmetry_space_group_name_H-M 'F m -3 m'
_symmetry_Int_Tables_number 225
_symmetry_space_group_name_Hall '-F 4 2 3'
loop_
_atom_site_label
_atom_site_type_symbol
_atom_site_fract_x
_atom_site_fract_y
_atom_site_fract_z
_atom_site_occupancy
Os1 Os 0.0000 0.0000 0.0000 1
S1 S 0.0000 0.0000 0.5000 1
F1 F 0.2500 0.2500 0.2500 1
# Density of states at the Fermi level: 2.59 states/eV/f.u.
# Formation energy from raw total energies: 541 meV/atom
# E: -4.572 eV/atom
# V: 11.966 A^3/atom

(8)
# MgNiGe | the Alexandria database | PBEsol | relaxed
data_MgNiGe
_cell_length_a 6.4145
_cell_length_b 4.0390
_cell_length_c 6.8427
_cell_angle_alpha 90.00
_cell_angle_beta 90.00
_cell_angle_gamma 90.00
_symmetry_space_group_name_H-M 'P n m a'
_symmetry_Int_Tables_number 62
loop_
_symmetry_equiv_pos_as_xyz
'x,y,z'
'-x,-y,-z'
'-x+1/2,-y,z+1/2'
'x+1/2,y,-z+1/2'
'x+1/2,-y+1/2,-z+1/2'
'-x+1/2,y+1/2,z+1/2'
'-x,y+1/2,-z'
'x,-y+1/2,z'
loop_
_atom_site_label
_atom_site_type_symbol
_atom_site_fract_x
_atom_site_fract_y
_atom_site_fract_z
_atom_site_occupancy
Mg1 Mg 0.0033 0.2500 0.1877 1
Ni1 Ni 0.1544 0.7500 0.4456 1
Ge1 Ge 0.2091 0.2500 0.6187 1
# Density of states at the Fermi level: 1.10 states/eV/f.u.
# E: -4.674 eV/atom
# V: 14.773 A^3/atom
# Energy relative to the elements: -0.403 eV per atom

(9)
# Na3CaMg3AlF14 | the Alexandria database | PBEsol | relaxed
data_Na3CaMg3AlF14
_cell_length_a 7.1607
_cell_length_b 7.1607
_cell_length_c 17.6582
_cell_angle_alpha 90.00
_cell_angle_beta 90.00
_cell_angle_gamma 120.00
_symmetry_space_group_name_H-M 'R -3 m'
_symmetry_Int_Tables_number 166
_symmetry_space_group_name_Hall '-R 3 2"'
loop_
_atom_site_label
_atom_site_type_symbol
_atom_site_fract_x
_atom_site_fract_y
_atom_site_fract_z
_atom_site_occupancy
Na1 Na 0.0000 0.5000 0.0000 1
Ca1 Ca 0.0000 0.0000 0.5000 1
Mg1 Mg 0.0000 0.5000 0.5000 1
Al1 Al 0.0000 0.0000 0.0000 1
F1 F 0.0000 0.0000 0.3760 1
F2 F 0.0587 0.5293 0.8611 1
F3 F 0.0918 0.5459 0.6087 1
# Density of states at the Fermi level: 0.00 states/eV/f.u.
# Formation energy from raw total energies: -3431 meV/atom
# E: -5.366 eV/atom
# V: 11.881 A^3/atom

(10)
# IrOsAu2 | the Alexandria database | PBEsol | relaxed
data_IrOsAu2
_cell_length_a 2.7232
_cell_length_b 4.8189
_cell_length_c 4.7541
_cell_angle_alpha 90.00
_cell_angle_beta 90.73
_cell_angle_gamma 90.00
_symmetry_space_group_name_H-M 'P 1 2/m 1'
_symmetry_Int_Tables_number 10
loop_
_symmetry_equiv_pos_as_xyz
'x,y,z'
'-x,-y,-z'
'-x,y,-z'
'x,-y,z'
loop_
_atom_site_label
_atom_site_type_symbol
_atom_site_fract_x
_atom_site_fract_y
_atom_site_fract_z
_atom_site_occupancy
Ir1 Ir 0.0000 0.0000 0.0000 1
Os1 Os 0.5000 0.0000 0.5000 1
Au1 Au 0.2514 0.5000 0.2504 1
# E above lowest polymorph: 0.247 eV per atom
# Density of states at the Fermi level: 4.15 states/eV/f.u.
# E: -6.884 eV/atom
# V: 15.595 A^3/atom
# Energy relative to the elements: 0.588 eV per atom

(11)
# Ba3HgO | the Alexandria database | PBEsol | relaxed
data_Ba3HgO
_cell_length_a 5.4247
_cell_length_b 5.4247
_cell_length_c 5.4247
_cell_angle_alpha 90.00
_cell_angle_beta 90.00
_cell_angle_gamma 90.00
_symmetry_space_group_name_H-M 'P m -3 m'
_symmetry_Int_Tables_number 221
_symmetry_space_group_name_Hall '-P 4 2 3'
loop_
_atom_site_label
_atom_site_type_symbol
_atom_site_fract_x
_atom_site_fract_y
_atom_site_fract_z
_atom_site_occupancy
Ba1 Ba 0.0000 0.0000 0.5000 1
Hg1 Hg 0.5000 0.5000 0.5000 1
O1 O 0.0000 0.0000 0.0000 1
# Density of states at the Fermi level: 4.44 states/eV/f.u.
# Formation energy from raw total energies: -1190 meV/atom
# E: -3.643 eV/atom
# V: 31.928 A^3/atom

(12)
# MnP3N | the Alexandria database | PBEsol | relaxed
data_MnP3N
_cell_length_a 3.9693
_cell_length_b 3.9693
_cell_length_c 3.9693
_cell_angle_alpha 90.00
_cell_angle_beta 90.00
_cell_angle_gamma 90.00
_symmetry_space_group_name_H-M 'P m -3 m'
_symmetry_Int_Tables_number 221
_symmetry_space_group_name_Hall '-P 4 2 3'
loop_
_atom_site_label
_atom_site_type_symbol
_atom_site_fract_x
_atom_site_fract_y
_atom_site_fract_z
_atom_site_occupancy
Mn1 Mn 0.0000 0.0000 0.0000 1
P1 P 0.0000 0.5000 0.5000 1
N1 N 0.5000 0.5000 0.5000 1
# E above lowest polymorph: 0.000 eV per atom
# Density of states at the Fermi level: 1.28 states/eV/f.u.
# Formation energy from raw total energies: 678 meV/atom
# E: -6.454 eV/atom
# V: 12.508 A^3/atom